RbNa2Al3Si3O13 after structural relaxation, computed with PBE-GGA.

Unit cell a=5.226 b=8.521 c=16.302 alpha=90.00 beta=108.66 gamma=90.00
Space group Pc (No. 7)
Asymmetric unit:
1 Rb 0.000 0.018 0.000 [2 per cell]
2 Na 0.175 0.356 0.261 [2 per cell]
3 Na 0.634 0.289 0.753 [2 per cell]
4 Al 0.184 0.056 0.773 [2 per cell]
5 Al 0.476 0.372 0.109 [2 per cell]
6 Al 0.784 0.439 0.399 [2 per cell]
7 Si 0.267 0.353 0.899 [2 per cell]
8 Si 0.662 0.142 0.265 [2 per cell]
9 Si 0.988 0.425 0.605 [2 per cell]
10 O 0.038 0.489 0.859 [2 per cell]
11 O 0.111 0.147 0.667 [2 per cell]
12 O 0.149 0.187 0.850 [2 per cell]
13 O 0.306 0.476 0.647 [2 per cell]
14 O 0.312 0.323 0.001 [2 per cell]
15 O 0.479 0.200 0.168 [2 per cell]
16 O 0.529 0.018 0.791 [2 per cell]
17 O 0.542 0.407 0.878 [2 per cell]
18 O 0.640 0.279 0.333 [2 per cell]
19 O 0.810 0.434 0.128 [2 per cell]
20 O 0.904 0.372 0.505 [2 per cell]
21 O 0.913 0.276 0.663 [2 per cell]
22 O 0.978 0.109 0.272 [2 per cell]

Calculated values
- Theoretical density: 2437 kg/m³
- Total moment: 0.1 μB/f.u.
- Raw total energy: -6.9277 eV/atom
- Raw formation energy: -2.584 eV/atom

=====

HoAl3Cu2 after structural relaxation, computed with PBE-GGA.

Unit cell a=9.645 b=8.046 c=5.242 alpha=90.00 beta=90.00 gamma=90.00
Space group Cmcm (No. 63)
Asymmetric unit:
1 Ho 0.000 0.155 0.250 [4 per cell]
2 Al 0.000 0.462 0.750 [4 per cell]
3 Al 0.176 0.220 0.750 [8 per cell]
4 Cu 0.219 0.500 0.000 [8 per cell]

Calculated values
- Energy of formation: -0.327 eV/atom
- Theoretical density: 6090 kg/m³
- Total moment: 0.0 μB/f.u.
- Raw total energy: -4.3266 eV/atom